Record 1
Compound: ZrScInAu
Source: Alexandria
Functional: PBE
Structure: relaxed

Lattice parameters (Å, degrees): 3.2078 3.2078 8.1647 90.00 90.00 90.00
Sites, in units of the cell vectors:
In: 0.5000 0.5000 0.8198
Zr: 0.0000 0.0000 0.0836
Au: 0.5000 0.5000 0.3272
Sc: 0.0000 0.0000 0.5541

Summary:
total DFT energy (no corrections) = -5.727 eV per atom
mass density = 8.9 g/cm3
ΔE_f = -0.503 eV/atom

Record 2
Compound: InAuSe2
Source: Alexandria
Functional: PBE
Structure: relaxed

Lattice parameters (Å, degrees): 18.3646 4.2816 6.9704 90.00 119.15 90.00
Sites, in units of the cell vectors:
Au: 0.1152 0.3335 0.5850
Au: 0.3848 0.8335 0.9150
Au: 0.8848 0.6665 0.4150
Au: 0.6152 0.1665 0.0850
Se: 0.3231 0.0473 0.5384
Se: 0.4230 0.4134 0.1896
Se: 0.6769 0.9527 0.4616
Se: 0.8231 0.4527 0.0384
Se: 0.1769 0.5473 0.9616
Se: 0.5770 0.5866 0.8104
Se: 0.0770 0.9134 0.3104
Se: 0.9230 0.0866 0.6896
In: 0.9128 0.9535 0.0595
In: 0.5872 0.4535 0.4405
In: 0.0872 0.0465 0.9405
In: 0.4128 0.5465 0.5595

Summary:
raw formation energy = -1.332 eV per formula unit
total DFT energy (no corrections) = -3.579 eV per atom
mass density = 6.5 g/cm3

Record 3
Compound: InAuSe2
Source: Alexandria
Functional: PBE
Structure: relaxed

Lattice parameters (Å, degrees): 7.5283 4.0011 15.3080 90.00 90.00 90.00
Sites, in units of the cell vectors:
Se: 0.3767 0.7500 0.2532
Se: 0.2678 0.2500 0.9947
Se: 0.7322 0.7500 0.0053
Se: 0.1233 0.2500 0.7532
Se: 0.6233 0.2500 0.7468
Se: 0.8767 0.7500 0.2468
Se: 0.7678 0.2500 0.5053
Se: 0.2322 0.7500 0.4947
In: 0.5884 0.2500 0.9146
In: 0.9116 0.7500 0.4146
In: 0.0884 0.2500 0.5854
In: 0.4116 0.7500 0.0854
Au: 0.6272 0.2500 0.2457
Au: 0.3728 0.7500 0.7543
Au: 0.8728 0.7500 0.7457
Au: 0.1272 0.2500 0.2543

Summary:
raw formation energy = -0.927 eV per formula unit
total DFT energy (no corrections) = -3.478 eV per atom
mass density = 6.8 g/cm3

Record 4
Compound: In2Au2Se
Source: Alexandria
Functional: PBE
Structure: relaxed

Lattice parameters (Å, degrees): 4.4851 4.4851 6.8189 70.80 70.80 90.00
Sites, in units of the cell vectors:
Au: 0.3885 0.3885 0.2231
Au: 0.6115 0.6115 0.7769
In: 0.7500 0.2500 0.5000
In: 0.2500 0.7500 0.5000
Se: 0.0000 0.0000 0.0000

Summary:
raw formation energy = 0.331 eV per formula unit
total DFT energy (no corrections) = -3.037 eV per atom
mass density = 9.6 g/cm3

Record 5
Compound: InAuSe2
Source: Alexandria
Functional: PBE
Structure: relaxed

Lattice parameters (Å, degrees): 6.7862 6.7862 7.5778 51.33 51.33 24.51
Sites, in units of the cell vectors:
In: 0.2477 0.2477 0.1606
Se: 0.7901 0.7901 0.7690
Se: 0.9460 0.9460 0.0977
Au: 0.5162 0.5162 0.4727

Summary:
raw formation energy = 0.245 eV per formula unit
total DFT energy (no corrections) = -3.185 eV per atom
mass density = 7.0 g/cm3

Record 6
Compound: InAuSe2
Source: Alexandria
Functional: PBE
Structure: relaxed

Lattice parameters (Å, degrees): 4.0398 4.0398 7.1556 90.00 90.00 120.00
Sites, in units of the cell vectors:
In: 0.0000 0.0000 0.9907
Se: 0.3333 0.6667 0.7889
Se: 0.6667 0.3333 0.2346
Au: 0.3333 0.6667 0.4407

Summary:
raw formation energy = -0.924 eV per formula unit
total DFT energy (no corrections) = -3.477 eV per atom
mass density = 7.7 g/cm3

Record 7
Compound: InAu3Se
Source: Alexandria
Functional: PBE
Structure: relaxed

Lattice parameters (Å, degrees): 5.1773 5.1773 5.1773 90.00 90.00 90.00
Sites, in units of the cell vectors:
Au: 0.0000 0.5000 0.0000
Au: 0.0000 0.0000 0.5000
Au: 0.5000 0.0000 0.0000
In: 0.0000 0.0000 0.0000
Se: 0.5000 0.5000 0.5000

Summary:
raw formation energy = 3.929 eV per formula unit
total DFT energy (no corrections) = -2.425 eV per atom
mass density = 9.4 g/cm3

Record 8
Compound: InAuSe2
Source: Alexandria
Functional: PBE
Structure: relaxed

Lattice parameters (Å, degrees): 3.8109 3.8109 6.7803 90.00 90.00 90.00
Sites, in units of the cell vectors:
Au: 0.0000 0.0000 0.3662
Se: 0.0000 0.0000 0.9276
Se: 0.5000 0.5000 0.4034
In: 0.5000 0.5000 0.8028

Summary:
raw formation energy = -0.818 eV per formula unit
total DFT energy (no corrections) = -3.451 eV per atom
mass density = 7.9 g/cm3

Record 9
Compound: InAuSe2
Source: Alexandria
Functional: PBE
Structure: relaxed

Lattice parameters (Å, degrees): 7.2939 7.2939 7.2939 148.60 150.06 43.93
Sites, in units of the cell vectors:
In: 0.2500 0.7500 0.5000
Se: 0.5145 0.5145 0.0000
Se: 0.9855 0.9855 0.0000
Au: 0.7500 0.2500 0.5000

Summary:
raw formation energy = 0.450 eV per formula unit
total DFT energy (no corrections) = -3.134 eV per atom
mass density = 7.8 g/cm3

Record 10
Compound: InAuSe2
Source: Alexandria
Functional: PBE
Structure: relaxed

Lattice parameters (Å, degrees): 7.6263 7.6263 7.6263 151.07 152.00 40.70
Sites, in units of the cell vectors:
Se: 0.9778 0.9778 0.0000
Se: 0.7298 0.2298 0.5000
In: 0.2990 0.7990 0.5000
Au: 0.4933 0.4933 0.0000

Summary:
raw formation energy = -0.400 eV per formula unit
total DFT energy (no corrections) = -3.346 eV per atom
mass density = 7.8 g/cm3

Record 11
Compound: InAuSe
Source: Alexandria
Functional: PBE
Structure: relaxed

Lattice parameters (Å, degrees): 4.7084 4.7084 4.7084 60.00 60.00 60.00
Sites, in units of the cell vectors:
Se: 0.5000 0.5000 0.5000
Au: 0.7500 0.7500 0.7500
In: 0.0000 0.0000 0.0000

Summary:
raw formation energy = -0.303 eV per formula unit
total DFT energy (no corrections) = -3.268 eV per atom
mass density = 8.8 g/cm3

Record 12
Compound: In2AuSe4
Source: Alexandria
Functional: PBE
Structure: relaxed

Lattice parameters (Å, degrees): 5.7243 5.7243 6.2354 90.00 90.00 90.00
Sites, in units of the cell vectors:
In: 0.0000 0.5000 0.5000
In: 0.5000 0.0000 0.5000
Se: 0.2703 0.7297 0.7689
Se: 0.7297 0.7297 0.2311
Se: 0.7297 0.2703 0.7689
Se: 0.2703 0.2703 0.2311
Au: 0.0000 0.0000 0.0000

Summary:
raw formation energy = -2.200 eV per formula unit
total DFT energy (no corrections) = -3.556 eV per atom
mass density = 6.0 g/cm3